A plane-wave DFT calculation with SCAN was carried out for a crystal of GaOs3Br relaxed with PBEsol.

ΔE_f (raw) (kJ/mol of formula units): 1178
DOS at the Fermi energy (states/eV per cell): 5.59

a = 4.5649 Å, b = 4.5649 Å, c = 4.5649 Å
α = 90.00°, β = 90.00°, γ = 90.00°
Closest atoms and distances in Å follow each position.
Fractional positions:
1 Ga 0.0000 0.0000 0.0000  6 Os 2.28
2 Os 0.0000 0.0000 0.5000  2 Ga 2.28
3 Os 0.0000 0.5000 0.0000  2 Ga 2.28
4 Os 0.5000 0.0000 0.0000  2 Ga 2.28
5 Br 0.5000 0.5000 0.5000  12 Os 3.23